[1]
Material: Dy7Tm4In
Method: DFT, GGA-PBE
State: relaxed

Output
ΔE_f = 0.1981 eV per atom
SG = C2/m (12)
Raw total energy = -4.21 eV per atom
Spin magnetization = 0.00 μB/f.u.

Lattice parameters (Å, degrees): 5.8374 11.4799 6.6864 79.84 64.12 75.27
Closest atoms and distances in Å follow each position.
Sites, in units of the cell vectors:
Dy 0.3681 0.4720 0.7917  5 Tm 3.32-3.60, 4 Dy 3.41-3.67
Tm 0.6360 0.2314 0.4965  6 Dy 3.32-3.60, 2 Tm 3.46
Dy 0.2020 0.0800 0.5160  1 In 2.98, 1 Dy 3.29
Dy 0.7980 0.9200 0.4840  1 In 2.98, 1 Dy 3.29
Tm 0.3640 0.7686 0.5035  6 Dy 3.32-3.60, 2 Tm 3.46
Tm 0.1416 0.3805 0.3364  5 Dy 3.36-3.57, 3 Tm 3.42-3.46
Dy 0.6319 0.5280 0.2083  5 Tm 3.32-3.60, 4 Dy 3.41-3.67
Dy 0.0951 0.7221 0.0876  1 In 3.09, 2 Dy 3.36-3.41
In 0.0000 0.0000 0.0000  6 Dy 2.92-3.09
Tm 0.8584 0.6195 0.6636  5 Dy 3.36-3.57, 3 Tm 3.42-3.46
Dy 0.9049 0.2779 0.9124  1 In 3.09, 2 Dy 3.36-3.41
Dy 0.5000 0.0000 0.0000  2 In 2.92

***

[2]
Material: DyTm6In3
Method: DFT, GGA-PBE
State: relaxed

Output
ΔE_f = -0.1169 eV per atom
SG = Cmc2_1 (36)
Raw total energy = -4.08 eV per atom
Spin magnetization = 0.00 μB/f.u.

Lattice parameters (Å, degrees): 7.5898 9.1774 9.1774 111.19 90.00 90.00
Closest atoms and distances in Å follow each position.
Sites, in units of the cell vectors:
In 0.8198 0.5556 0.4444  7 Tm 3.17-3.25
Tm 0.6307 0.2997 0.7003  3 In 3.22-3.31, 6 Tm 3.44-3.56
Tm 0.7945 0.9248 0.5513  3 In 3.06-3.17, 1 Tm 3.31, 1 Dy 3.35
Tm 0.1307 0.7003 0.2997  3 In 3.22-3.31, 6 Tm 3.44-3.56
Tm 0.1047 0.3006 0.2350  4 In 3.11-3.25, 2 Tm 3.31-3.35
Tm 0.2945 0.0752 0.4487  3 In 3.06-3.17, 1 Tm 3.31, 1 Dy 3.35
In 0.3198 0.4444 0.5556  7 Tm 3.17-3.25
Tm 0.6047 0.2350 0.3006  4 In 3.11-3.25, 2 Tm 3.31-3.35
Tm 0.2945 0.5513 0.9248  3 In 3.06-3.17, 1 Tm 3.31, 1 Dy 3.35
In 0.9308 0.0144 0.2817  7 Tm 3.06-3.42, 1 In 3.07, 1 Dy 3.27
Tm 0.7945 0.4487 0.0752  3 In 3.06-3.17, 1 Tm 3.31, 1 Dy 3.35
Dy 0.5807 0.7911 0.2089  2 In 3.27, 5 Tm 3.28-3.49
Tm 0.7942 0.0469 0.9531  1 Dy 3.28, 4 In 3.30-3.42, 6 Tm 3.35-3.65
In 0.4308 0.9856 0.7183  7 Tm 3.06-3.42, 1 In 3.07, 1 Dy 3.27
In 0.9308 0.7183 0.9856  7 Tm 3.06-3.42, 1 In 3.07, 1 Dy 3.27
Tm 0.6047 0.6994 0.7650  4 In 3.11-3.25, 2 Tm 3.31-3.35
Tm 0.1047 0.7650 0.6994  4 In 3.11-3.25, 2 Tm 3.31-3.35
In 0.4308 0.2817 0.0144  7 Tm 3.06-3.42, 1 In 3.07, 1 Dy 3.27
Tm 0.2942 0.9531 0.0469  1 Dy 3.28, 4 In 3.30-3.42, 6 Tm 3.35-3.65
Dy 0.0807 0.2089 0.7911  2 In 3.27, 5 Tm 3.28-3.49

***

[3]
Material: Dy3Tm4In
Method: DFT, GGA-PBE
State: relaxed

Output
ΔE_f = -0.1132 eV per atom
SG = P1 (1)
Raw total energy = -4.42 eV per atom
Spin magnetization = 0.09 μB/f.u.

Lattice parameters (Å, degrees): 6.9905 12.6551 6.9978 65.50 59.92 65.49
Closest atoms and distances in Å follow each position.
Sites, in units of the cell vectors:
Tm 0.7958 0.8786 0.4689  3 In 3.34-3.50, 5 Dy 3.39-3.60, 4 Tm 3.41-3.57
In 0.2917 0.8788 0.4758  4 Dy 3.33-3.50, 8 Tm 3.33-3.50
Dy 0.7980 0.8798 0.9814  3 In 3.33-3.50, 7 Tm 3.39-3.60, 2 Dy 3.45-3.48
Tm 0.2845 0.8787 0.9798  3 In 3.33-3.50, 4 Dy 3.39-3.60, 5 Tm 3.41-3.57
Tm 0.0432 0.3670 0.7371  1 In 3.37, 4 Tm 3.42-3.53, 7 Dy 3.44-3.56
Dy 0.0866 0.6208 0.2754  8 Tm 3.39-3.52, 4 Dy 3.46-3.53
Tm 0.3351 0.1214 0.0303  3 In 3.33-3.50, 4 Dy 3.39-3.61, 5 Tm 3.41-3.57
Tm 0.5816 0.6287 0.7684  1 In 3.43, 5 Tm 3.44-3.53, 6 Dy 3.48-3.51
Tm 0.5772 0.6331 0.2701  1 In 3.38, 4 Tm 3.41-3.52, 7 Dy 3.44-3.56
Dy 0.0834 0.6310 0.7653  1 In 3.41, 7 Tm 3.42-3.56, 4 Dy 3.45-3.53
In 0.8394 0.1213 0.0234  5 Dy 3.33-3.50, 7 Tm 3.33-3.51
Tm 0.8457 0.1214 0.5192  3 In 3.33-3.51, 5 Dy 3.39-3.60, 4 Tm 3.41-3.57
Tm 0.0395 0.3775 0.2276  7 Dy 3.39-3.53, 5 Tm 3.45-3.53
Dy 0.5499 0.3690 0.2289  1 In 3.40, 7 Tm 3.43-3.56, 4 Dy 3.45-3.52
Dy 0.5457 0.3722 0.7318  1 In 3.45, 8 Tm 3.45-3.53, 3 Dy 3.48-3.52
Dy 0.3331 0.1207 0.5166  3 In 3.33-3.50, 8 Tm 3.39-3.61, 1 Dy 3.45

***

[4]
Material: DyTm6In2
Method: DFT, GGA-PBE
State: relaxed

Output
ΔE_f = -0.2024 eV per atom
SG = C2/m (12)
Raw total energy = -4.30 eV per atom
Spin magnetization = 0.00 μB/f.u.

Lattice parameters (Å, degrees): 3.6879 6.5281 11.6591 75.14 80.90 73.59
Closest atoms and distances in Å follow each position.
Sites, in units of the cell vectors:
Tm 0.3168 0.4903 0.8762  2 In 3.23, 5 Tm 3.42-3.50, 2 Dy 3.59
Tm 0.3117 0.7941 0.5825  2 In 3.25, 8 Tm 3.39-3.55
Tm 0.6883 0.2059 0.4175  2 In 3.25, 8 Tm 3.39-3.55
Tm 0.6832 0.5097 0.1238  2 In 3.23, 5 Tm 3.42-3.50, 2 Dy 3.59
Tm 0.9857 0.6848 0.3437  2 In 3.20, 7 Tm 3.46-3.55
Dy 0.0000 0.0000 0.0000  4 In 3.17
In 0.6451 0.9194 0.7904  2 Dy 3.17, 6 Tm 3.20-3.25
In 0.3549 0.0806 0.2096  2 Dy 3.17, 6 Tm 3.20-3.25
Tm 0.0143 0.3152 0.6563  2 In 3.20, 7 Tm 3.46-3.55